# 1
Below is a relaxed Mg2TeAu crystal, with properties calculated at the PBE-GGA level.

Space group   F-43m (216)
Total magnetic moment   0.00 μB per formula unit
Formation energy (no corrections)   -0.06 eV per atom

a = 5.060 Å, b = 5.060 Å, c = 5.060 Å
α = 60.00°, β = 60.00°, γ = 60.00°
Positions (direct):
1 Mg 0.000 0.000 0.000
2 Mg 0.250 0.250 0.250
3 Te 0.500 0.500 0.500
4 Au 0.750 0.750 0.750

# 2
Below is a relaxed La3As4Ir2 crystal, with properties calculated at the PBE-GGA level.

Space group   C2/m (12)
Total magnetic moment   0.00 μB per formula unit
ΔE_f   -1035 meV per atom

a = 6.104 Å, b = 6.104 Å, c = 8.344 Å
α = 100.01°, β = 100.01°, γ = 42.66°
Positions (direct):
1 La 0.000 0.000 0.000
2 La 0.342 0.342 0.337
3 La 0.658 0.658 0.663
4 As 0.077 0.077 0.394
5 As 0.269 0.269 0.924
6 As 0.731 0.731 0.076
7 As 0.923 0.923 0.606
8 Ir 0.403 0.403 0.725
9 Ir 0.597 0.597 0.275

# 3
Below is a relaxed LiCd2Pt crystal, with properties calculated at the PBE-GGA level.

Space group   P2/m (10)
Total magnetic moment   0.00 μB per formula unit
ΔE_f   -291 meV per atom

a = 4.964 Å, b = 2.974 Å, c = 5.142 Å
α = 90.00°, β = 110.64°, γ = 90.00°
Positions (direct):
1 Li 0.000 0.000 0.000
2 Cd 0.500 0.000 0.500
3 Cd 0.500 0.500 0.000
4 Pt 0.000 0.500 0.500

# 4
Below is a relaxed FeNi2Rh crystal, with properties calculated at the PBE-GGA level.

Space group   Fm-3m (225)
Total magnetic moment   4.98 μB per formula unit
ΔE_f   101 meV per atom

a = 4.117 Å, b = 4.117 Å, c = 4.117 Å
α = 60.00°, β = 60.00°, γ = 60.00°
Positions (direct):
1 Fe 0.000 0.000 0.000
2 Ni 0.250 0.250 0.250
3 Ni 0.750 0.750 0.750
4 Rh 0.500 0.500 0.500

# 5
Below is a relaxed ScNbP2Cl crystal, with properties calculated at the PBE-GGA level.

Space group   P4/mmm (123)
Total magnetic moment   2.22 μB per formula unit
Formation energy (no corrections)   0.30 eV per atom

a = 4.930 Å, b = 4.930 Å, c = 4.702 Å
α = 90.00°, β = 90.00°, γ = 90.00°
Positions (direct):
1 Sc 0.000 0.000 0.000
2 Nb 0.500 0.500 0.500
3 P 0.000 0.500 0.000
4 P 0.500 0.000 0.000
5 Cl 0.000 0.000 0.500

# 6
Below is a relaxed Hg3BPd crystal, with properties calculated at the PBE-GGA level.

Space group   Pm-3m (221)
Total magnetic moment   0.00 μB per formula unit
ΔE_f   584 meV per atom

a = 4.574 Å, b = 4.574 Å, c = 4.574 Å
α = 90.00°, β = 90.00°, γ = 90.00°
Positions (direct):
1 Hg 0.000 0.000 0.500
2 Hg 0.000 0.500 0.000
3 Hg 0.500 0.000 0.000
4 B 0.000 0.000 0.000
5 Pd 0.500 0.500 0.500

# 7
Below is a relaxed EuCdAu2 crystal, with properties calculated at the PBE-GGA level.

Space group   Fm-3m (225)
Total magnetic moment   6.91 μB per formula unit
ΔE_f   -573 meV per atom

a = 5.078 Å, b = 5.078 Å, c = 5.078 Å
α = 60.00°, β = 60.00°, γ = 60.00°
Positions (direct):
1 Eu 0.000 0.000 0.000
2 Cd 0.500 0.500 0.500
3 Au 0.250 0.250 0.250
4 Au 0.750 0.750 0.750

# 8
Below is a relaxed PrLu2Cu crystal, with properties calculated at the PBE-GGA level.

Space group   P4/mmm (123)
Total magnetic moment   0.00 μB per formula unit
ΔE_f   -118 meV per atom

a = 3.449 Å, b = 3.449 Å, c = 8.762 Å
α = 90.00°, β = 90.00°, γ = 90.00°
Positions (direct):
1 Pr 0.000 0.000 0.000
2 Lu 0.500 0.500 0.311
3 Lu 0.500 0.500 0.689
4 Cu 0.000 0.000 0.500

# 9
Below is a relaxed Li2POs crystal, with properties calculated at the PBE-GGA level.

Space group   R3m (160)
Total magnetic moment   0.00 μB per formula unit
ΔE_f   -42 meV per atom

a = 8.559 Å, b = 8.559 Å, c = 8.559 Å
α = 19.90°, β = 19.90°, γ = 19.90°
Positions (direct):
1 Li 0.000 0.000 0.000
2 Li 0.229 0.229 0.229
3 P 0.747 0.747 0.747
4 Os 0.476 0.476 0.476

# 10
Below is a relaxed Rb2AuF7 crystal, with properties calculated at the PBE-GGA level.

Space group   C2/c (15)
Total magnetic moment   0.33 μB per formula unit
Formation energy (no corrections)   -1.60 eV per atom

a = 8.061 Å, b = 8.061 Å, c = 10.198 Å
α = 128.35°, β = 128.35°, γ = 51.01°
Positions (direct):
1 Rb 0.015 0.296 0.242
2 Rb 0.296 0.015 0.742
3 Rb 0.704 0.985 0.258
4 Rb 0.985 0.704 0.758
5 Au 0.320 0.680 0.250
6 Au 0.680 0.320 0.750
7 F 0.053 0.098 0.915
8 F 0.098 0.053 0.415
9 F 0.189 0.487 0.998
10 F 0.230 0.588 0.329
11 F 0.390 0.610 0.750
12 F 0.412 0.770 0.171
13 F 0.487 0.189 0.498
14 F 0.513 0.811 0.502
15 F 0.588 0.230 0.829
16 F 0.610 0.390 0.250
17 F 0.770 0.412 0.671
18 F 0.811 0.513 0.002
19 F 0.902 0.947 0.585
20 F 0.947 0.902 0.085

# 11
Below is a relaxed TlSn3 crystal, with properties calculated at the PBE-GGA level.

Space group   Imm2 (44)
Total magnetic moment   0.00 μB per formula unit
ΔE_f   69 meV per atom

a = 6.540 Å, b = 6.540 Å, c = 6.540 Å
α = 149.69°, β = 63.79°, γ = 125.34°
Positions (direct):
1 Tl 0.000 0.000 0.000
2 Sn 0.395 0.632 0.763
3 Sn 0.487 0.987 0.500
4 Sn 0.869 0.632 0.237

# 12
Below is a relaxed Y6Er12Zr crystal, with properties calculated at the PBE-GGA level.

Space group   R-3m (166)
Total magnetic moment   3.27 μB per formula unit
ΔE_f   252 meV per atom

a = 8.586 Å, b = 8.586 Å, c = 8.586 Å
α = 98.67°, β = 98.67°, γ = 98.67°
Positions (direct):
1 Y 0.166 0.598 0.598
2 Y 0.402 0.402 0.834
3 Y 0.402 0.834 0.402
4 Y 0.598 0.166 0.598
5 Y 0.598 0.598 0.166
6 Y 0.834 0.402 0.402
7 Er 0.000 0.255 0.745
8 Er 0.000 0.745 0.255
9 Er 0.150 0.150 0.420
10 Er 0.150 0.420 0.150
11 Er 0.255 0.000 0.745
12 Er 0.255 0.745 0.000
13 Er 0.420 0.150 0.150
14 Er 0.580 0.850 0.850
15 Er 0.745 0.000 0.255
16 Er 0.745 0.255 0.000
17 Er 0.850 0.580 0.850
18 Er 0.850 0.850 0.580
19 Zr 0.500 0.500 0.500